Arrangement i

A relaxed structure of BeAgAsO. Source: OQMD via LeMat-Bulk, functional PBE.

```
8
Lattice="2.970 0.000 0.000 0.000 7.424 0.000 0.000 0.000 5.334" Properties=species:S:1:pos:R:3 pbc="T T T"
Be 0.000 0.552 0.000
Be 0.000 6.871 2.667
Ag 1.485 2.234 2.027
Ag 1.485 5.190 4.694
As 1.485 2.643 4.624
As 1.485 4.780 1.957
O 0.000 0.344 1.478
O 0.000 7.079 4.145
```

Values from the calculation:
SG: No. 26

Arrangement ii

A relaxed structure of BeAgAsO. Source: OQMD via LeMat-Bulk, functional PBE.

```
8
Lattice="3.545 0.000 0.000 0.000 3.545 0.000 0.000 0.000 9.794" Properties=species:S:1:pos:R:3 pbc="T T T"
Be 0.886 0.886 0.101
Be 2.659 2.659 9.693
Ag 0.886 2.659 4.897
Ag 2.659 0.886 4.897
As 0.886 0.886 2.795
As 2.659 2.659 6.998
O 0.886 2.659 0.000
O 2.659 0.886 0.000
```

Values from the calculation:
SG: No. 129

Arrangement iii

A relaxed structure of BeAgAsO. Source: OQMD via LeMat-Bulk, functional PBE.

```
8
Lattice="3.943 0.000 0.000 0.000 3.943 0.000 0.000 0.000 7.906" Properties=species:S:1:pos:R:3 pbc="T T T"
Be 0.986 2.957 0.000
Be 2.957 0.986 0.000
Ag 0.986 0.986 3.105
Ag 2.957 2.957 4.802
As 0.986 0.986 6.682
As 2.957 2.957 1.225
O 0.986 2.957 3.953
O 2.957 0.986 3.953
```

Values from the calculation:
SG: No. 129

Arrangement iv

A relaxed structure of BeAgAsO. Source: OQMD via LeMat-Bulk, functional PBE.

```
8
Lattice="2.805 0.000 0.000 0.000 6.954 0.000 0.000 0.000 5.908" Properties=species:S:1:pos:R:3 pbc="T T T"
Be 0.000 1.337 0.000
Be 0.000 5.617 2.954
Ag 1.403 1.489 3.094
Ag 1.403 5.465 0.140
As 0.000 3.439 1.683
As 0.000 3.515 4.637
O 1.403 0.767 0.014
O 1.403 6.186 2.968
```

Values from the calculation:
SG: No. 26

Stability ranking, top entry: arrangement iv; the second entry is 43 meV per atom less favorable.

Arrangement i

A relaxed structure of BeAgAsPd. Source: OQMD via LeMat-Bulk, functional PBE.

```
16
Lattice="6.202 0.000 0.000 0.000 6.202 0.000 0.000 0.000 6.202" Properties=species:S:1:pos:R:3 pbc="T T T"
Be 0.000 0.000 0.000
Be 0.000 3.101 3.101
Be 3.101 0.000 3.101
Be 3.101 3.101 0.000
Ag 1.551 1.551 4.652
Ag 1.551 4.652 1.551
Ag 4.652 1.551 1.551
Ag 4.652 4.652 4.652
As 0.000 0.000 3.101
As 0.000 3.101 0.000
As 3.101 0.000 0.000
As 3.101 3.101 3.101
Pd 1.551 1.551 1.551
Pd 1.551 4.652 4.652
Pd 4.652 1.551 4.652
Pd 4.652 4.652 1.551
```

Values from the calculation:
SG: No. 216

Arrangement ii

A relaxed structure of BeAgAsPd. Source: OQMD via LeMat-Bulk, functional PBE.

```
16
Lattice="6.251 0.000 0.000 0.000 6.251 0.000 0.000 0.000 6.251" Properties=species:S:1:pos:R:3 pbc="T T T"
Be 0.000 0.000 0.000
Be 0.000 3.126 3.126
Be 3.126 0.000 3.126
Be 3.126 3.126 0.000
Ag 1.563 1.563 1.563
Ag 1.563 4.689 4.689
Ag 4.689 1.563 4.689
Ag 4.689 4.689 1.563
As 1.563 1.563 4.689
As 1.563 4.689 1.563
As 4.689 1.563 1.563
As 4.689 4.689 4.689
Pd 0.000 0.000 3.126
Pd 0.000 3.126 0.000
Pd 3.126 0.000 0.000
Pd 3.126 3.126 3.126
```

Values from the calculation:
SG: No. 216

Stability ranking, top entry: arrangement i; the second entry is 76 meV per atom less favorable.